w:
# LaAl3Cr

An optimized crystal structure of LaAl3Cr (GGA-PBE, Alexandria via LeMat-Bulk).

Cell and atoms, written as extended XYZ:
```
5
Lattice="5.445 0.000 0.000 0.000 5.445 0.000 0.000 0.000 5.445" Properties=species:S:1:pos:R:3 pbc="T T T"
La 0.000 0.000 0.000
Al 0.000 0.000 2.722
Al 0.000 2.722 0.000
Al 2.722 0.000 0.000
Cr 2.722 2.722 2.722
```

## Properties
D(E_F), states/eV/cell: 9.46
Space-group type: Pm-3m (221)
Theoretical density, g/cm3: 2.80
V, Å³ per cell: 161
M_tot, μB per formula unit: 0.944

---

x:
# LaAl3Cr

An optimized crystal structure of LaAl3Cr (GGA-PBE, Alexandria via LeMat-Bulk).

Cell and atoms, written as extended XYZ:
```
5
Lattice="4.710 0.000 0.000 0.000 4.710 0.000 0.000 0.000 4.710" Properties=species:S:1:pos:R:3 pbc="T T T"
La 0.000 0.000 0.000
Al 0.000 2.355 2.355
Al 2.355 0.000 2.355
Al 2.355 2.355 0.000
Cr 2.355 2.355 2.355
```

## Properties
D(E_F), states/eV/cell: 2.88
Space-group type: Pm-3m (221)
Theoretical density, g/cm3: 4.32
V, Å³ per cell: 105
M_tot, μB per formula unit: 0.000

---

It comes down to x, which is 214.3 kJ/mol of atoms more stable than the next structure.

---

w:
# LaAl2Cr2

An optimized crystal structure of LaAl2Cr2 (GGA-PBE, Alexandria via LeMat-Bulk).

Cell and atoms, written as extended XYZ:
```
5
Lattice="-2.194 2.194 4.984 2.194 -2.194 4.984 2.194 2.194 -4.984" Properties=species:S:1:pos:R:3 pbc="T T T"
La 0.000 0.000 0.000
Al 2.194 0.000 2.492
Al 0.000 2.194 2.492
Cr 0.000 0.000 4.040
Cr 0.000 0.000 5.928
```

## Properties
D(E_F), states/eV/cell: 6.49
Space-group type: I4/mmm (139)
Theoretical density, g/cm3: 5.14
V, Å³ per cell: 96
M_tot, μB per formula unit: 0.000

---

x:
# LaAl2Cr2

An optimized crystal structure of LaAl2Cr2 (GGA-PBE, Alexandria via LeMat-Bulk).

Cell and atoms, written as extended XYZ:
```
10
Lattice="7.685 0.000 0.000 0.000 7.685 0.000 0.000 0.000 2.832" Properties=species:S:1:pos:R:3 pbc="T T T"
La 0.000 0.000 0.000
La 3.843 3.843 0.000
Al 1.023 2.820 1.416
Al 2.820 6.662 1.416
Al 4.866 1.023 1.416
Al 6.662 4.866 1.416
Cr 1.188 5.031 0.000
Cr 2.655 1.188 0.000
Cr 5.031 6.497 0.000
Cr 6.497 2.655 0.000
```

## Properties
D(E_F), states/eV/cell: 13.95
Space-group type: P4/mbm (127)
Theoretical density, g/cm3: 5.89
V, Å³ per cell: 167
M_tot, μB per formula unit: 0.000

---

It comes down to w, which is 12.0 kJ/mol of atoms more stable than the next structure.